Density functional theory data (PBE) for a geometry-optimized RbNa3Cu2As2 structure.

Lattice parameters (Å, degrees): 5.845 5.441 6.268 90.00 104.80 90.00
Positions (direct):
Rb 0.000 0.000 0.000
Na 0.067 0.500 0.372
Na 0.363 0.000 0.666
Na 0.706 0.500 0.672
Cu 0.550 0.255 0.178
Cu 0.550 0.745 0.178
As 0.311 0.500 0.901
As 0.780 0.000 0.455

space group = Pm
VASP energy = -24.2 eV/f.u.

Density functional theory data (PBE) for a geometry-optimized DyScFe2Ge2C structure.

Lattice parameters (Å, degrees): 5.606 5.606 6.662 125.43 125.43 40.71
Positions (direct):
Dy 0.000 0.000 0.000
Sc 0.887 0.887 0.429
Fe 0.243 0.243 0.618
Fe 0.638 0.638 0.800
Ge 0.283 0.283 0.013
Ge 0.602 0.602 0.415
C 0.438 0.438 0.700

space group = Cm
VASP energy = -50.0 eV/f.u.
size of the total moment = 0.008 μB per formula unit

Density functional theory data (PBE) for a geometry-optimized TmHgPb structure.

Lattice parameters (Å, degrees): 5.059 5.059 5.059 60.00 60.00 60.00
Positions (direct):
Tm 0.000 0.000 0.000
Hg 0.500 0.500 0.500
Pb 0.750 0.750 0.750

space group = F-43m
VASP energy = -8.5 eV/f.u.
size of the total moment = 0.002 μB per formula unit